This record from Alexandria describes a relaxed YTmAg2Se4 crystal. The functional is PBE-GGA.

Results
density of states at the Fermi level: 0.0 states/eV/cell
E_form (uncorrected): -112.2 kJ per mole of atoms
size of the total moment: 0.00 μB per cell

Geometry as CIF:
```
data_YTmAg2Se4
_chemical_formula_sum 'Y1 Tm1 Ag2 Se4'
_space_group_name_H-M_alt 'P 1'
_space_group_IT_number 1
_cell_length_a 6.912
_cell_length_b 4.150
_cell_length_c 7.183
_cell_angle_alpha 90.00
_cell_angle_beta 109.87
_cell_angle_gamma 90.00
loop_
_space_group_symop_operation_xyz
'x,y,z'
loop_
_atom_site_label
_atom_site_type_symbol
_atom_site_fract_x
_atom_site_fract_y
_atom_site_fract_z
Y1 Y 0.000 0.000 0.000
Tm1 Tm 0.000 0.500 0.500
Ag1 Ag 0.500 0.000 0.500
Ag2 Ag 0.500 0.500 0.000
Se1 Se 0.243 0.000 0.743
Se2 Se 0.244 0.500 0.250
Se3 Se 0.756 0.500 0.750
Se4 Se 0.757 0.000 0.257
```

This record from Alexandria describes a relaxed SmDyGaPt crystal. The functional is PBE-GGA.

Results
calculated formation energy: -0.820 eV per atom
ΔE to the lowest computed polymorph: 0.0821 eV per atom
density of states at the Fermi level: 11.1 states/eV/cell
size of the total moment: 0.00 μB per cell

Geometry as CIF:
```
data_SmDyGaPt
_chemical_formula_sum 'Sm4 Dy4 Ga4 Pt4'
_space_group_name_H-M_alt 'P 1'
_space_group_IT_number 1
_cell_length_a 7.159
_cell_length_b 7.159
_cell_length_c 7.159
_cell_angle_alpha 90.00
_cell_angle_beta 90.00
_cell_angle_gamma 90.00
loop_
_space_group_symop_operation_xyz
'x,y,z'
loop_
_atom_site_label
_atom_site_type_symbol
_atom_site_fract_x
_atom_site_fract_y
_atom_site_fract_z
Sm1 Sm 0.000 0.000 0.000
Sm2 Sm 0.000 0.500 0.500
Sm3 Sm 0.500 0.000 0.500
Sm4 Sm 0.500 0.500 0.000
Dy1 Dy 0.000 0.000 0.500
Dy2 Dy 0.000 0.500 0.000
Dy3 Dy 0.500 0.000 0.000
Dy4 Dy 0.500 0.500 0.500
Ga1 Ga 0.250 0.250 0.750
Ga2 Ga 0.250 0.750 0.250
Ga3 Ga 0.750 0.250 0.250
Ga4 Ga 0.750 0.750 0.750
Pt1 Pt 0.250 0.250 0.250
Pt2 Pt 0.250 0.750 0.750
Pt3 Pt 0.750 0.250 0.750
Pt4 Pt 0.750 0.750 0.250
```

This record from Alexandria describes a relaxed MgTiBi2 crystal. The functional is PBE-GGA.

Results
calculated formation energy: 0.181 eV per atom
density of states at the Fermi level: 0.0 states/eV/cell
size of the total moment: 0.00 μB per cell

Geometry as CIF:
```
data_MgTiBi2
_chemical_formula_sum 'Mg4 Ti4 Bi8'
_space_group_name_H-M_alt 'P 1'
_space_group_IT_number 1
_cell_length_a 6.624
_cell_length_b 6.624
_cell_length_c 12.940
_cell_angle_alpha 90.00
_cell_angle_beta 90.00
_cell_angle_gamma 90.00
loop_
_space_group_symop_operation_xyz
'x,y,z'
loop_
_atom_site_label
_atom_site_type_symbol
_atom_site_fract_x
_atom_site_fract_y
_atom_site_fract_z
Mg1 Mg 0.000 0.000 0.000
Mg2 Mg 0.000 0.500 0.250
Mg3 Mg 0.500 0.000 0.750
Mg4 Mg 0.500 0.500 0.500
Ti1 Ti 0.000 0.000 0.500
Ti2 Ti 0.000 0.500 0.750
Ti3 Ti 0.500 0.000 0.250
Ti4 Ti 0.500 0.500 0.000
Bi1 Bi 0.224 0.250 0.625
Bi2 Bi 0.250 0.724 0.875
Bi3 Bi 0.250 0.776 0.375
Bi4 Bi 0.276 0.250 0.125
Bi5 Bi 0.724 0.750 0.125
Bi6 Bi 0.750 0.224 0.375
Bi7 Bi 0.750 0.276 0.875
Bi8 Bi 0.776 0.750 0.625
```

This record from Alexandria describes a relaxed PuTaTlO6 crystal. The functional is PBE-GGA.

Results
density of states at the Fermi level: 15.3 states/eV/cell
E_form (uncorrected): -223.3 kJ per mole of atoms
size of the total moment: 4.00 μB per cell

Geometry as CIF:
```
data_PuTaTlO6
_chemical_formula_sum 'Pu2 Ta2 Tl2 O12'
_space_group_name_H-M_alt 'P 1'
_space_group_IT_number 1
_cell_length_a 5.565
_cell_length_b 5.565
_cell_length_c 12.187
_cell_angle_alpha 90.00
_cell_angle_beta 90.00
_cell_angle_gamma 120.00
loop_
_space_group_symop_operation_xyz
'x,y,z'
loop_
_atom_site_label
_atom_site_type_symbol
_atom_site_fract_x
_atom_site_fract_y
_atom_site_fract_z
Pu1 Pu 0.333 0.667 0.250
Pu2 Pu 0.667 0.333 0.750
Ta1 Ta 0.333 0.667 0.750
Ta2 Ta 0.667 0.333 0.250
Tl1 Tl 0.000 0.000 0.000
Tl2 Tl 0.000 0.000 0.500
O1 O 0.009 0.390 0.660
O2 O 0.009 0.619 0.840
O3 O 0.381 0.390 0.840
O4 O 0.381 0.991 0.660
O5 O 0.390 0.009 0.160
O6 O 0.390 0.381 0.340
O7 O 0.610 0.619 0.660
O8 O 0.610 0.991 0.840
O9 O 0.619 0.009 0.340
O10 O 0.619 0.610 0.160
O11 O 0.991 0.381 0.160
O12 O 0.991 0.610 0.340
```

This record from Alexandria describes a relaxed Ce4HgGe crystal. The functional is PBE-GGA.

Results
calculated formation energy: -0.343 eV per atom
ΔE to the lowest computed polymorph: 0.0000 eV per atom
density of states at the Fermi level: 25.8 states/eV/cell
size of the total moment: 0.63 μB per cell

Geometry as CIF:
```
data_Ce4HgGe
_chemical_formula_sum 'Ce8 Hg2 Ge2'
_space_group_name_H-M_alt 'P 1'
_space_group_IT_number 1
_cell_length_a 7.760
_cell_length_b 7.760
_cell_length_c 5.653
_cell_angle_alpha 101.93
_cell_angle_beta 101.93
_cell_angle_gamma 108.94
loop_
_space_group_symop_operation_xyz
'x,y,z'
loop_
_atom_site_label
_atom_site_type_symbol
_atom_site_fract_x
_atom_site_fract_y
_atom_site_fract_z
Ce1 Ce 0.073 0.683 0.840
Ce2 Ce 0.182 0.390 0.630
Ce3 Ce 0.317 0.927 0.660
Ce4 Ce 0.390 0.182 0.130
Ce5 Ce 0.610 0.818 0.870
Ce6 Ce 0.683 0.073 0.340
Ce7 Ce 0.818 0.610 0.370
Ce8 Ce 0.927 0.317 0.160
Hg1 Hg 0.387 0.613 0.250
Hg2 Hg 0.613 0.387 0.750
Ge1 Ge 0.021 0.979 0.250
Ge2 Ge 0.979 0.021 0.750
```

This record from Alexandria describes a relaxed BaSi2OsS crystal. The functional is PBE-GGA.

Results
density of states at the Fermi level: 12.5 states/eV/cell
E_form (uncorrected): 259.2 kJ per mole of atoms
size of the total moment: 0.00 μB per cell

Geometry as CIF:
```
data_BaSi2OsS
_chemical_formula_sum 'Ba1 Si2 Os1 S1'
_space_group_name_H-M_alt 'P 1'
_space_group_IT_number 1
_cell_length_a 5.511
_cell_length_b 5.511
_cell_length_c 5.363
_cell_angle_alpha 90.00
_cell_angle_beta 90.00
_cell_angle_gamma 90.00
loop_
_space_group_symop_operation_xyz
'x,y,z'
loop_
_atom_site_label
_atom_site_type_symbol
_atom_site_fract_x
_atom_site_fract_y
_atom_site_fract_z
Ba1 Ba 0.000 0.000 0.000
Si1 Si 0.000 0.500 0.000
Si2 Si 0.500 0.000 0.000
Os1 Os 0.500 0.500 0.500
S1 S 0.000 0.000 0.500
```

This record from Alexandria describes a relaxed SrTa2Cd crystal. The functional is PBE-GGA.

Results
calculated formation energy: 0.615 eV per atom
density of states at the Fermi level: 5.4 states/eV/cell
size of the total moment: 0.00 μB per cell

Geometry as CIF:
```
data_SrTa2Cd
_chemical_formula_sum 'Sr2 Ta4 Cd2'
_space_group_name_H-M_alt 'P 1'
_space_group_IT_number 1
_cell_length_a 9.822
_cell_length_b 2.983
_cell_length_c 6.667
_cell_angle_alpha 90.00
_cell_angle_beta 95.52
_cell_angle_gamma 90.00
loop_
_space_group_symop_operation_xyz
'x,y,z'
loop_
_atom_site_label
_atom_site_type_symbol
_atom_site_fract_x
_atom_site_fract_y
_atom_site_fract_z
Sr1 Sr 0.000 0.000 0.000
Sr2 Sr 0.500 0.500 0.000
Ta1 Ta 0.229 0.000 0.667
Ta2 Ta 0.496 0.000 0.538
Ta3 Ta 0.729 0.500 0.667
Ta4 Ta 0.996 0.500 0.538
Cd1 Cd 0.257 0.500 0.284
Cd2 Cd 0.757 0.000 0.284
```

This record from Alexandria describes a relaxed LaPr5Nd4 crystal. The functional is PBE-GGA.

Results
calculated formation energy: 0.017 eV per atom
ΔE to the lowest computed polymorph: 0.0000 eV per atom
density of states at the Fermi level: 17.2 states/eV/cell
size of the total moment: 0.00 μB per cell

Geometry as CIF:
```
data_LaPr5Nd4
_chemical_formula_sum 'La1 Pr5 Nd4'
_space_group_name_H-M_alt 'P 1'
_space_group_IT_number 1
_cell_length_a 3.715
_cell_length_b 3.715
_cell_length_c 26.219
_cell_angle_alpha 90.00
_cell_angle_beta 90.00
_cell_angle_gamma 90.00
loop_
_space_group_symop_operation_xyz
'x,y,z'
loop_
_atom_site_label
_atom_site_type_symbol
_atom_site_fract_x
_atom_site_fract_y
_atom_site_fract_z
La1 La 0.000 0.000 0.000
Pr1 Pr 0.500 0.500 0.101
Pr2 Pr 0.500 0.500 0.301
Pr3 Pr 0.500 0.500 0.500
Pr4 Pr 0.500 0.500 0.699
Pr5 Pr 0.500 0.500 0.899
Nd1 Nd 0.000 0.000 0.201
Nd2 Nd 0.000 0.000 0.400
Nd3 Nd 0.000 0.000 0.600
Nd4 Nd 0.000 0.000 0.799
```

This record from Alexandria describes a relaxed La2SiNi crystal. The functional is PBE-GGA.

Results
density of states at the Fermi level: 2.9 states/eV/cell
E_form (uncorrected): -34.6 kJ per mole of atoms
size of the total moment: 0.00 μB per cell

Geometry as CIF:
```
data_La2SiNi
_chemical_formula_sum 'La2 Si1 Ni1'
_space_group_name_H-M_alt 'P 1'
_space_group_IT_number 1
_cell_length_a 3.559
_cell_length_b 3.589
_cell_length_c 7.461
_cell_angle_alpha 90.00
_cell_angle_beta 90.00
_cell_angle_gamma 90.00
loop_
_space_group_symop_operation_xyz
'x,y,z'
loop_
_atom_site_label
_atom_site_type_symbol
_atom_site_fract_x
_atom_site_fract_y
_atom_site_fract_z
La1 La 0.000 0.000 0.240
La2 La 0.000 0.000 0.760
Si1 Si 0.500 0.500 0.500
Ni1 Ni 0.500 0.500 0.000
```

This record from Alexandria describes a relaxed TmPd2Pt crystal. The functional is PBE-GGA.

Results
calculated formation energy: -0.971 eV per atom
ΔE to the lowest computed polymorph: 0.0000 eV per atom
density of states at the Fermi level: 5.1 states/eV/cell
size of the total moment: 0.00 μB per cell

Geometry as CIF:
```
data_TmPd2Pt
_chemical_formula_sum 'Tm1 Pd2 Pt1'
_space_group_name_H-M_alt 'P 1'
_space_group_IT_number 1
_cell_length_a 4.101
_cell_length_b 4.101
_cell_length_c 4.075
_cell_angle_alpha 90.00
_cell_angle_beta 90.00
_cell_angle_gamma 90.00
loop_
_space_group_symop_operation_xyz
'x,y,z'
loop_
_atom_site_label
_atom_site_type_symbol
_atom_site_fract_x
_atom_site_fract_y
_atom_site_fract_z
Tm1 Tm 0.000 0.000 0.000
Pd1 Pd 0.000 0.500 0.500
Pd2 Pd 0.500 0.000 0.500
Pt1 Pt 0.500 0.500 0.000
```

This record from Alexandria describes a relaxed Be3InTe crystal. The functional is PBE-GGA.

Results
ΔE to the lowest computed polymorph: 0.1215 eV per atom
density of states at the Fermi level: 5.0 states/eV/cell
E_form (uncorrected): 114.0 kJ per mole of atoms
size of the total moment: 0.00 μB per cell

Geometry as CIF:
```
data_Be3InTe
_chemical_formula_sum 'Be3 In1 Te1'
_space_group_name_H-M_alt 'P 1'
_space_group_IT_number 1
_cell_length_a 4.771
_cell_length_b 4.771
_cell_length_c 4.771
_cell_angle_alpha 90.00
_cell_angle_beta 90.00
_cell_angle_gamma 90.00
loop_
_space_group_symop_operation_xyz
'x,y,z'
loop_
_atom_site_label
_atom_site_type_symbol
_atom_site_fract_x
_atom_site_fract_y
_atom_site_fract_z
Be1 Be 0.000 0.000 0.500
Be2 Be 0.000 0.500 0.000
Be3 Be 0.500 0.000 0.000
In1 In 0.500 0.500 0.500
Te1 Te 0.000 0.000 0.000
```

This record from Alexandria describes a relaxed EuLuCuIr crystal. The functional is PBE-GGA.

Results
calculated formation energy: -0.409 eV per atom
density of states at the Fermi level: 14.4 states/eV/cell
size of the total moment: 27.58 μB per cell

Geometry as CIF:
```
data_EuLuCuIr
_chemical_formula_sum 'Eu4 Lu4 Cu4 Ir4'
_space_group_name_H-M_alt 'P 1'
_space_group_IT_number 1
_cell_length_a 6.905
_cell_length_b 6.905
_cell_length_c 6.905
_cell_angle_alpha 90.00
_cell_angle_beta 90.00
_cell_angle_gamma 90.00
loop_
_space_group_symop_operation_xyz
'x,y,z'
loop_
_atom_site_label
_atom_site_type_symbol
_atom_site_fract_x
_atom_site_fract_y
_atom_site_fract_z
Eu1 Eu 0.000 0.000 0.000
Eu2 Eu 0.000 0.500 0.500
Eu3 Eu 0.500 0.000 0.500
Eu4 Eu 0.500 0.500 0.000
Lu1 Lu 0.000 0.000 0.500
Lu2 Lu 0.000 0.500 0.000
Lu3 Lu 0.500 0.000 0.000
Lu4 Lu 0.500 0.500 0.500
Cu1 Cu 0.250 0.250 0.250
Cu2 Cu 0.250 0.750 0.750
Cu3 Cu 0.750 0.250 0.750
Cu4 Cu 0.750 0.750 0.250
Ir1 Ir 0.250 0.250 0.750
Ir2 Ir 0.250 0.750 0.250
Ir3 Ir 0.750 0.250 0.250
Ir4 Ir 0.750 0.750 0.750
```